Here is crystalline Tb6Pm2ErMg at its relaxed geometry from the Alexandria database. Energies are from GGA-PBE.

Raw total energy, eV per atom: -4.24
Formation energy from the elements, eV/atom: 0.102

a = 6.6178 Å, b = 11.0151 Å, c = 11.0151 Å
α = 126.55°, β = 86.00°, γ = 86.00°
With the nearest neighbours (Å) after each atom.
Fractional coordinates of all 20 atoms:
Tb: 0.4720 0.2054 0.9115  2 Er 3.32-3.45, 6 Tb 3.32-3.68, 1 Mg 3.34, 2 Pm 3.42-3.70
Tb: 0.2221 0.5614 0.0842  2 Mg 3.36-3.40, 6 Tb 3.36-3.59, 1 Pm 3.50
Tb: 0.9819 0.2979 0.4677  1 Mg 3.28, 4 Pm 3.42-3.59, 3 Tb 3.45-3.57
Tb: 0.4819 0.4677 0.2979  1 Mg 3.28, 4 Pm 3.42-3.59, 3 Tb 3.45-3.57
Tb: 0.0181 0.7021 0.5323  1 Mg 3.28, 4 Pm 3.42-3.59, 3 Tb 3.45-3.57
Tb: 0.5181 0.5323 0.7021  1 Mg 3.28, 4 Pm 3.42-3.59, 3 Tb 3.45-3.57
Tb: 0.7221 0.0842 0.5614  2 Mg 3.36-3.40, 6 Tb 3.36-3.59, 1 Pm 3.50
Tb: 0.5280 0.7946 0.0885  2 Er 3.32-3.45, 6 Tb 3.32-3.68, 1 Mg 3.34, 2 Pm 3.42-3.70
Tb: 0.2779 0.9158 0.4386  2 Mg 3.36-3.40, 6 Tb 3.36-3.59, 1 Pm 3.50
Tb: 0.9720 0.9115 0.2054  2 Er 3.32-3.45, 6 Tb 3.32-3.68, 1 Mg 3.34, 2 Pm 3.42-3.70
Tb: 0.7779 0.4386 0.9158  2 Mg 3.36-3.40, 6 Tb 3.36-3.59, 1 Pm 3.50
Tb: 0.0280 0.0885 0.7946  2 Er 3.32-3.45, 6 Tb 3.32-3.68, 1 Mg 3.34, 2 Pm 3.42-3.70
Pm: 0.9959 0.3479 0.1827  2 Er 3.38-3.62, 7 Tb 3.42-3.70, 1 Mg 3.57
Pm: 0.4959 0.1827 0.3479  2 Er 3.38-3.62, 7 Tb 3.42-3.70, 1 Mg 3.57
Pm: 0.5041 0.8173 0.6521  2 Er 3.38-3.62, 7 Tb 3.42-3.70, 1 Mg 3.57
Pm: 0.0041 0.6521 0.8173  2 Er 3.38-3.62, 7 Tb 3.42-3.70, 1 Mg 3.57
Mg: 0.7500 0.7056 0.2944  8 Tb 3.28-3.40, 2 Pm 3.57
Mg: 0.2500 0.2944 0.7056  8 Tb 3.28-3.40, 2 Pm 3.57
Er: 0.2500 0.9934 0.0066  4 Tb 3.32-3.45, 2 Er 3.32, 4 Pm 3.38-3.62
Er: 0.7500 0.0066 0.9934  4 Tb 3.32-3.45, 2 Er 3.32, 4 Pm 3.38-3.62